Record 1
Entry from Alexandria via LeMat-Bulk: an optimized crystal structure of KCaAu3 (PBEsol).

```
data_KCaAu3
_symmetry_space_group_name_H-M 'P m -3 m'
_symmetry_Int_Tables_number 221
_symmetry_space_group_name_Hall '-P 4 2 3'
_cell_length_a 5.485
_cell_length_b 5.485
_cell_length_c 5.485
_cell_angle_alpha 90.00
_cell_angle_beta 90.00
_cell_angle_gamma 90.00
loop_
_atom_site_label
_atom_site_type_symbol
_atom_site_fract_x
_atom_site_fract_y
_atom_site_fract_z
K1 K 0.000 0.000 0.000
Ca1 Ca 0.500 0.500 0.500
Au1 Au 0.000 0.500 0.500
```

## Properties
For the spin magnetization, the calculation gives 0.000 μB/cell. As for the calculated total energy: -14.8 eV/f.u.

Record 2
Entry from Alexandria via LeMat-Bulk: an optimized crystal structure of CrRuRh2 (PBEsol).

```
data_CrRuRh2
_symmetry_space_group_name_H-M 'I 4/m m m'
_symmetry_Int_Tables_number 139
_symmetry_space_group_name_Hall '-I 4 2'
_cell_length_a 3.710
_cell_length_b 3.710
_cell_length_c 7.506
_cell_angle_alpha 90.00
_cell_angle_beta 90.00
_cell_angle_gamma 90.00
loop_
_atom_site_label
_atom_site_type_symbol
_atom_site_fract_x
_atom_site_fract_y
_atom_site_fract_z
Cr1 Cr 0.000 0.000 0.000
Ru1 Ru 0.000 0.000 0.500
Rh1 Rh 0.000 0.500 0.250
```

## Properties
For the spin magnetization, the calculation gives 1.720 μB/cell. The density of states at the Fermi level is 7.8 states/eV/cell. As for the calculated total energy: -36.8 eV/f.u.

Record 3
Entry from Alexandria via LeMat-Bulk: an optimized crystal structure of ZnIrRu2 (PBEsol).

```
data_ZnIrRu2
_symmetry_space_group_name_H-M 'P 4 m m'
_symmetry_Int_Tables_number 99
_symmetry_space_group_name_Hall 'P 4 -2'
_cell_length_a 2.712
_cell_length_b 2.712
_cell_length_c 7.330
_cell_angle_alpha 90.00
_cell_angle_beta 90.00
_cell_angle_gamma 90.00
loop_
_atom_site_label
_atom_site_type_symbol
_atom_site_fract_x
_atom_site_fract_y
_atom_site_fract_z
Zn1 Zn 0.000 0.000 0.000
Ir1 Ir 0.500 0.500 0.253
Ru1 Ru 0.000 0.000 0.507
Ru2 Ru 0.500 0.500 0.746
```

## Properties
For the spin magnetization, the calculation gives 0.000 μB/cell. The density of states at the Fermi level is 3.0 states/eV/cell. As for the calculated total energy: -31.8 eV/f.u.